A plane-wave DFT calculation with meta-GGA SCAN was carried out for a PBEsol-optimized structure of Sb2Te2W.

Density, g/cm3: 8.991
Symmetry: No. 127
Uncorrected energy, eV per atom: -42.85
V, Å³/f.u.: 126.1
Formation energy (no corrections), eV/atom: 0.895

Cell: 7.0496 7.0496 5.0730 Å, 90.00 90.00 90.00°
Closest atoms and distances in Å follow each position.
Sites, in units of the cell vectors:
Sb 0.1466 0.3534 0.0000  2 W 2.70, 1 Sb 2.92, 2 Te 2.99
Sb 0.3534 0.8534 0.0000  2 W 2.70, 1 Sb 2.92, 2 Te 2.99
Sb 0.6466 0.1466 0.0000  2 W 2.70, 1 Sb 2.92, 2 Te 2.99
Sb 0.8534 0.6466 0.0000  2 W 2.70, 1 Sb 2.92, 2 Te 2.99
Te 0.1943 0.6943 0.5000  2 Sb 2.99
Te 0.3057 0.1943 0.5000  2 Sb 2.99
Te 0.6943 0.8057 0.5000  2 Sb 2.99
Te 0.8057 0.3057 0.5000  2 Sb 2.99
W 0.0000 0.0000 0.0000  4 Sb 2.70
W 0.5000 0.5000 0.0000  4 Sb 2.70

---

A plane-wave DFT calculation with meta-GGA SCAN was carried out for a PBEsol-optimized structure of TcMo3.

E_form, eV/atom: 0.03
Density, g/cm3: 10.697
Symmetry: No. 63
Uncorrected energy, eV per atom: -34.90
V, Å³/f.u.: 59.9
Polymorph energy (0 for the lowest one), meV/atom: 7.5

Cell: 5.3849 5.3849 4.3790 Å, 90.00 90.00 109.37°
Closest atoms and distances in Å follow each position.
Sites, in units of the cell vectors:
Tc 0.1221 0.8779 0.7500  8 Mo 2.68-2.71
Tc 0.8779 0.1221 0.2500  8 Mo 2.68-2.71
Mo 0.1268 0.3765 0.7500  4 Tc 2.68-2.71, 4 Mo 2.68-2.70
Mo 0.3729 0.6271 0.2500  8 Mo 2.68-2.70
Mo 0.3765 0.1268 0.2500  4 Tc 2.68-2.71, 4 Mo 2.68-2.70
Mo 0.6235 0.8732 0.7500  4 Tc 2.68-2.71, 4 Mo 2.68-2.70
Mo 0.6271 0.3729 0.7500  8 Mo 2.68-2.70
Mo 0.8732 0.6235 0.2500  4 Tc 2.68-2.71, 4 Mo 2.68-2.70

---

A plane-wave DFT calculation with meta-GGA SCAN was carried out for a PBEsol-optimized structure of Sr3PtF.

Density, g/cm3: 4.059
Symmetry: No. 221
Uncorrected energy, eV per atom: -29.07
V, Å³/f.u.: 195.1
Formation energy (no corrections), eV/atom: -0.954

Cell: 5.8001 5.8001 5.8001 Å, 90.00 90.00 90.00°
Closest atoms and distances in Å follow each position.
Sites, in units of the cell vectors:
Sr 0.0000 0.0000 0.5000  2 Pt 2.90
Sr 0.0000 0.5000 0.0000  2 Pt 2.90
Sr 0.5000 0.0000 0.0000  2 Pt 2.90
Pt 0.0000 0.0000 0.0000  6 Sr 2.90
F 0.5000 0.5000 0.5000  12 Sr 4.10

---

A plane-wave DFT calculation with meta-GGA SCAN was carried out for a PBEsol-optimized structure of CaReIr2.

E_form, eV/atom: 0.23
Density, g/cm3: 15.982
Symmetry: No. 166
Uncorrected energy, eV per atom: -55.51
V, Å³/f.u.: 63.5
Polymorph energy (0 for the lowest one), meV/atom: 0.0

Cell: 9.4383 9.4383 9.4383 Å, 17.10 17.10 17.10°
Closest atoms and distances in Å follow each position.
Sites, in units of the cell vectors:
Ca 0.0000 0.0000 0.0000  6 Ca 2.81, 6 Ir 2.99
Re 0.5000 0.5000 0.5000  6 Ir 2.68, 6 Re 2.81
Ir 0.2434 0.2434 0.2434  3 Re 2.68, 6 Ir 2.81, 3 Ca 2.99
Ir 0.7566 0.7566 0.7566  3 Re 2.68, 6 Ir 2.81, 3 Ca 2.99